# 1
Material: Ce3NpU2P6
Method: DFT, PBE-GGA
State: relaxed

Calculated values
VASP energy in eV per atom: -8.347
ΔH_f (0 K) in eV per atom: -1.20

```
Ce3NpU2P6
1.0
8.760 -1.992 0.000
8.760 1.992 0.000
-1.924 0.000 7.827
Ce Np U P
3 1 2 6
direct
0.000 0.000 0.000 Ce
0.334 0.334 0.665 Ce
0.666 0.666 0.335 Ce
0.000 0.000 0.500 Np
0.333 0.333 0.165 U
0.667 0.667 0.835 U
0.165 0.165 0.592 P
0.169 0.169 0.078 P
0.496 0.496 0.255 P
0.504 0.504 0.745 P
0.831 0.831 0.922 P
0.835 0.835 0.408 P
```



# 2
Material: Dy3Tl2Se6
Method: DFT, PBE-GGA
State: relaxed

Calculated values
VASP energy in eV per atom: -4.979
Uncorrected formation energy in kcal/mol of atoms: -32.13

```
Dy3Tl2Se6
1.0
3.605 -6.240 0.000
3.605 6.240 0.000
-2.396 0.000 7.556
Dy Tl Se
3 2 6
direct
0.000 0.000 0.000 Dy
0.333 0.667 0.000 Dy
0.667 0.333 0.000 Dy
0.167 0.833 0.500 Tl
0.833 0.167 0.500 Tl
0.067 0.403 0.209 Se
0.262 0.262 0.792 Se
0.403 0.067 0.209 Se
0.597 0.933 0.791 Se
0.738 0.738 0.208 Se
0.933 0.597 0.791 Se
```



# 3
Material: SrLi
Method: DFT, PBE-GGA
State: relaxed

Calculated values
VASP energy in eV per atom: -1.088
Distance to the lowest polymorph of the same formula in eV per atom: 0.6824
ΔH_f (0 K) in eV per atom: 0.71

```
SrLi
1.0
9.693 0.000 0.000
0.000 9.693 0.000
0.000 0.000 9.693
Sr Li
6 6
direct
0.000 0.250 0.500 Sr
0.000 0.750 0.500 Sr
0.250 0.500 0.000 Sr
0.500 0.000 0.250 Sr
0.500 0.000 0.750 Sr
0.750 0.500 0.000 Sr
0.000 0.500 0.250 Li
0.000 0.500 0.750 Li
0.250 0.000 0.500 Li
0.500 0.250 0.000 Li
0.500 0.750 0.000 Li
0.750 0.000 0.500 Li
```



# 4
Material: ZnInAu2
Method: DFT, PBE-GGA
State: relaxed

Calculated values
VASP energy in eV per atom: -2.750
ΔH_f (0 K) in eV per atom: -0.11

```
ZnInAu2
1.0
3.997 0.000 0.000
-1.999 3.462 0.000
0.000 0.000 18.196
Zn In Au
3 3 6
direct
0.000 0.000 0.000 Zn
0.333 0.667 0.667 Zn
0.667 0.333 0.333 Zn
0.000 0.000 0.830 In
0.333 0.667 0.496 In
0.667 0.333 0.163 In
0.000 0.000 0.404 Au
0.000 0.000 0.593 Au
0.333 0.667 0.070 Au
0.333 0.667 0.260 Au
0.667 0.333 0.737 Au
0.667 0.333 0.927 Au
```



# 5
Material: Er6Bi5Se
Method: DFT, PBE-GGA
State: relaxed

Calculated values
VASP energy in eV per atom: -5.141
Uncorrected formation energy in kcal/mol of atoms: -21.96

```
Er6Bi5Se
1.0
3.801 -6.568 0.000
3.801 6.568 0.000
-2.535 0.000 7.159
Er Bi Se
6 5 1
direct
0.080 0.404 0.743 Er
0.240 0.240 0.249 Er
0.404 0.080 0.743 Er
0.596 0.920 0.257 Er
0.760 0.760 0.751 Er
0.920 0.596 0.257 Er
0.171 0.829 0.000 Bi
0.335 0.665 0.500 Bi
0.500 0.500 0.000 Bi
0.665 0.335 0.500 Bi
0.829 0.171 0.000 Bi
0.000 0.000 0.500 Se
```



# 6
Material: ReNi2Se
Method: DFT, PBE-GGA
State: relaxed

Calculated values
VASP energy in eV per atom: -6.686
Uncorrected formation energy in kcal/mol of atoms: 4.34

```
ReNi2Se
1.0
2.695 0.000 0.000
0.000 2.695 0.000
0.000 0.000 7.570
Re Ni Se
1 2 1
direct
0.000 0.000 0.000 Re
0.500 0.500 0.237 Ni
0.500 0.500 0.763 Ni
0.000 0.000 0.500 Se
```



# 7
Material: Ce5IrAu2
Method: DFT, PBE-GGA
State: relaxed

Calculated values
VASP energy in eV per atom: -6.150
ΔH_f (0 K) in eV per atom: -0.51

```
Ce5IrAu2
1.0
7.458 0.000 0.000
0.000 11.850 0.000
0.000 0.000 4.691
Ce Ir Au
10 2 4
direct
0.000 0.000 0.000 Ce
0.126 0.285 0.000 Ce
0.215 0.558 0.500 Ce
0.285 0.058 0.500 Ce
0.374 0.785 0.000 Ce
0.500 0.500 0.000 Ce
0.626 0.215 0.000 Ce
0.715 0.942 0.500 Ce
0.785 0.442 0.500 Ce
0.874 0.715 0.000 Ce
0.000 0.500 0.000 Ir
0.500 0.000 0.000 Ir
0.102 0.816 0.500 Au
0.398 0.316 0.500 Au
0.602 0.684 0.500 Au
0.898 0.184 0.500 Au
```



# 8
Material: HfCdAsBr2
Method: DFT, PBE-GGA
State: relaxed

Calculated values
VASP energy in eV per atom: -3.184
Distance to the lowest polymorph of the same formula in eV per atom: 0.9717
Uncorrected formation energy in kcal/mol of atoms: 13.59

```
HfCdAsBr2
1.0
5.172 0.000 0.000
0.000 5.172 0.000
0.000 0.000 5.479
Hf Cd As Br
1 1 1 2
direct
0.000 0.000 0.000 Hf
0.500 0.500 0.500 Cd
0.500 0.500 0.000 As
0.000 0.500 0.500 Br
0.500 0.000 0.500 Br
```



# 9
Material: Ce2Ga3CuAu4
Method: DFT, PBE-GGA
State: relaxed

Calculated values
VASP energy in eV per atom: -4.332
ΔH_f (0 K) in eV per atom: -0.52

```
Ce2Ga3CuAu4
1.0
4.456 0.000 0.000
0.000 4.456 0.000
0.000 0.000 10.367
Ce Ga Cu Au
2 3 1 4
direct
0.000 0.500 0.242 Ce
0.500 0.000 0.758 Ce
0.000 0.000 0.000 Ga
0.000 0.500 0.632 Ga
0.500 0.000 0.368 Ga
0.500 0.500 0.000 Cu
0.000 0.000 0.500 Au
0.000 0.500 0.873 Au
0.500 0.000 0.127 Au
0.500 0.500 0.500 Au
```



# 10
Material: Na3PuAg2O6
Method: DFT, PBE-GGA
State: relaxed

Calculated values
VASP energy in eV per atom: -6.011
Uncorrected formation energy in kcal/mol of atoms: -35.34

```
Na3PuAg2O6
1.0
3.098 -4.947 0.000
3.098 4.947 0.000
-2.505 0.000 5.470
Na Pu Ag O
3 1 2 6
direct
0.000 0.000 0.000 Na
0.326 0.674 0.000 Na
0.674 0.326 0.000 Na
0.500 0.500 0.500 Pu
0.171 0.829 0.500 Ag
0.829 0.171 0.500 Ag
0.151 0.436 0.254 O
0.287 0.287 0.687 O
0.436 0.151 0.254 O
0.564 0.849 0.746 O
0.713 0.713 0.313 O
0.849 0.564 0.746 O
```



# 11
Material: YSb2PbI
Method: DFT, PBE-GGA
State: relaxed

Calculated values
VASP energy in eV per atom: -3.590
Distance to the lowest polymorph of the same formula in eV per atom: 0.3890
Uncorrected formation energy in kcal/mol of atoms: 9.31

```
YSb2PbI
1.0
5.739 0.000 0.000
0.000 5.739 0.000
0.000 0.000 5.896
Y Sb Pb I
1 2 1 1
direct
0.000 0.000 0.000 Y
0.000 0.500 0.500 Sb
0.500 0.000 0.500 Sb
0.500 0.500 0.500 Pb
0.500 0.500 0.000 I
```



# 12
Material: VSnGe2
Method: DFT, PBE-GGA
State: relaxed

Calculated values
VASP energy in eV per atom: -5.268
ΔH_f (0 K) in eV per atom: 0.32

```
VSnGe2
1.0
4.002 0.000 0.000
0.000 4.002 0.000
0.000 0.000 19.694
V Sn Ge
4 4 8
direct
0.000 0.000 0.000 V
0.000 0.500 0.250 V
0.500 0.000 0.750 V
0.500 0.500 0.500 V
0.000 0.000 0.500 Sn
0.000 0.500 0.750 Sn
0.500 0.000 0.250 Sn
0.500 0.500 0.000 Sn
0.232 0.250 0.125 Ge
0.250 0.732 0.375 Ge
0.250 0.768 0.875 Ge
0.268 0.250 0.625 Ge
0.732 0.750 0.625 Ge
0.750 0.232 0.875 Ge
0.750 0.268 0.375 Ge
0.768 0.750 0.125 Ge
```



# 13
Material: ErTm2Al2
Method: DFT, PBE-GGA
State: relaxed

Calculated values
VASP energy in eV per atom: -4.516
Distance to the lowest polymorph of the same formula in eV per atom: 0.0000
ΔH_f (0 K) in eV per atom: -0.32

```
ErTm2Al2
1.0
3.586 0.000 0.000
0.000 5.086 0.000
-1.795 0.000 13.200
Er Tm Al
2 4 4
direct
0.146 0.250 0.293 Er
0.854 0.750 0.707 Er
0.047 0.750 0.094 Tm
0.234 0.750 0.468 Tm
0.766 0.250 0.532 Tm
0.953 0.250 0.906 Tm
0.360 0.250 0.718 Al
0.450 0.750 0.901 Al
0.550 0.250 0.099 Al
0.640 0.750 0.282 Al
```



# 14
Material: AcPr3Pt2
Method: DFT, PBE-GGA
State: relaxed

Calculated values
VASP energy in eV per atom: -5.833
Distance to the lowest polymorph of the same formula in eV per atom: 0.0315
ΔH_f (0 K) in eV per atom: -0.74

```
AcPr3Pt2
1.0
9.295 -2.019 0.000
9.295 2.019 0.000
-3.234 0.000 9.714
Ac Pr Pt
2 6 4
direct
0.109 0.109 0.126 Ac
0.891 0.891 0.874 Ac
0.033 0.033 0.674 Pr
0.312 0.312 0.136 Pr
0.339 0.339 0.511 Pr
0.661 0.661 0.489 Pr
0.688 0.688 0.864 Pr
0.967 0.967 0.326 Pr
0.248 0.248 0.706 Pt
0.479 0.479 0.126 Pt
0.521 0.521 0.874 Pt
0.752 0.752 0.294 Pt
```



# 15
Material: K2Re2Tc
Method: DFT, PBE-GGA
State: relaxed

Calculated values
VASP energy in eV per atom: -5.911
Distance to the lowest polymorph of the same formula in eV per atom: 0.0000
ΔH_f (0 K) in eV per atom: 1.58

```
K2Re2Tc
1.0
3.484 0.000 0.000
0.000 3.484 0.000
0.000 0.000 23.413
K Re Tc
4 4 2
direct
0.000 0.000 0.116 K
0.000 0.000 0.884 K
0.500 0.500 0.384 K
0.500 0.500 0.616 K
0.000 0.500 0.250 Re
0.000 0.500 0.750 Re
0.500 0.000 0.250 Re
0.500 0.000 0.750 Re
0.000 0.000 0.500 Tc
0.500 0.500 0.000 Tc
```



# 16
Material: LiMgNb
Method: DFT, PBE-GGA
State: relaxed

Calculated values
VASP energy in eV per atom: -4.192
Distance to the lowest polymorph of the same formula in eV per atom: 0.1696
ΔH_f (0 K) in eV per atom: 0.33

```
LiMgNb
1.0
5.140 0.000 0.000
0.000 4.860 0.000
0.000 0.000 8.574
Li Mg Nb
4 4 4
direct
0.190 0.250 0.129 Li
0.310 0.750 0.629 Li
0.690 0.250 0.371 Li
0.810 0.750 0.871 Li
0.176 0.250 0.446 Mg
0.324 0.750 0.946 Mg
0.676 0.250 0.054 Mg
0.824 0.750 0.554 Mg
0.058 0.250 0.792 Nb
0.442 0.750 0.292 Nb
0.558 0.250 0.708 Nb
0.942 0.750 0.208 Nb
```